Material: CaNiO
Method: DFT, PBE with a Hubbard U
State: optimized geometry

V = 85.57 Å³/cell
DOS at the Fermi energy = 0.38 states/eV/f.u.
E_tot = -0.3453 Ry per atom

a = 3.330 Å, b = 3.334 Å, c = 7.708 Å
α = 90.10°, β = 90.60°, γ = 90.00°
Element x y z (fractional)
Ca (0.247, 0.248, 0.340)
Ca (0.753, 0.752, 0.660)
Ni (0.250, 0.250, 0.929)
Ni (0.750, 0.750, 0.071)
O (0.255, 0.250, 0.650)
O (0.745, 0.750, 0.350)